Record 1
10
Lattice="6.649 0.000 0.000 0.000 6.649 0.000 0.000 0.000 3.632" Properties=species:S:1:pos:R:3 comment="Ta2Ga2Tc, relaxed, DFT PBE" space_group="P4/mbm, No. 127" n_ef_per_ev_fu=3.9 relative_energy_kcal_per_mol_atoms=0.00 pbc="T T T"
Ta 1.132 2.193 0.000
Ta 2.193 5.517 0.000
Ta 4.456 1.132 0.000
Ta 5.517 4.456 0.000
Ga 0.876 4.200 1.816
Ga 2.449 0.876 1.816
Ga 4.200 5.773 1.816
Ga 5.773 2.449 1.816
Tc 0.000 0.000 1.816
Tc 3.325 3.325 1.816

Record 2
3
Lattice="4.757 0.000 0.000 -2.378 4.120 0.000 0.000 0.000 3.538" Properties=species:S:1:pos:R:3 comment="NdMgCu, relaxed, DFT PBE" dft_energy_ev_per_atom=-3.546 space_group="P-6m2, No. 187" n_ef_per_ev_fu=2.3 pbc="T T T"
Nd 0.000 0.000 0.000
Mg 2.378 1.373 1.769
Cu 0.000 2.746 1.769

Record 3
7
Lattice="-2.463 2.463 9.057 2.463 -2.463 9.057 2.463 2.463 -9.057" Properties=species:S:1:pos:R:3 comment="La2Sm4O, relaxed, DFT PBE" space_group="I4/mmm, No. 139" n_ef_per_ev_fu=8.8 raw_formation_energy_kj_per_mol_atoms=-62.2 pbc="T T T"
La 0.000 0.000 3.036
La 0.000 0.000 15.078
Sm 2.463 0.000 0.000
Sm 0.000 0.000 6.646
Sm 0.000 2.463 0.000
Sm 0.000 0.000 11.468
O 0.000 0.000 9.057

Record 4
16
Lattice="4.151 0.000 0.000 0.000 4.151 0.000 0.000 0.000 16.583" Properties=species:S:1:pos:R:3 comment="Ce3YPd12, relaxed, DFT PBE" dft_energy_ev_per_atom=-6.253 space_group="P4/mmm, No. 123" n_ef_per_ev_fu=12.6 pbc="T T T"
Ce 0.000 0.000 0.000
Ce 0.000 0.000 4.187
Ce 0.000 0.000 12.397
Y 0.000 0.000 8.292
Pd 0.000 2.076 2.080
Pd 0.000 2.076 6.207
Pd 0.000 2.076 10.377
Pd 0.000 2.076 14.503
Pd 2.076 0.000 2.080
Pd 2.076 0.000 6.207
Pd 2.076 0.000 10.377
Pd 2.076 0.000 14.503
Pd 2.076 2.076 0.000
Pd 2.076 2.076 4.147
Pd 2.076 2.076 8.292
Pd 2.076 2.076 12.437

Record 5
4
Lattice="0.000 3.018 3.018 3.018 0.000 3.018 3.018 3.018 0.000" Properties=species:S:1:pos:R:3 comment="Mn2InS, relaxed, DFT PBE" space_group="Fm-3m, No. 225" n_ef_per_ev_fu=5.9 raw_formation_energy_kj_per_mol_atoms=66.1 relative_energy_kcal_per_mol_atoms=12.57 pbc="T T T"
Mn 1.509 1.509 1.509
Mn 4.527 4.527 4.527
In 0.000 0.000 0.000
S 3.018 3.018 3.018

Record 6
11
Lattice="4.189 -5.588 0.000 4.189 5.588 0.000 0.000 0.000 7.355" Properties=species:S:1:pos:R:3 comment="Pm7Tl2Si2, relaxed, DFT PBE" space_group="Cmmm, No. 65" n_ef_per_ev_fu=14.3 raw_formation_energy_kj_per_mol_atoms=-25.1 pbc="T T T"
Pm 0.000 0.000 0.000
Pm 2.094 2.794 1.963
Pm 2.094 2.794 5.392
Pm 2.094 -2.794 1.963
Pm 2.094 -2.794 5.392
Pm 4.189 0.000 1.796
Pm 4.189 0.000 5.560
Tl 1.484 0.000 3.678
Tl 6.893 0.000 3.678
Si 4.189 2.476 0.000
Si 4.189 -2.476 0.000

Record 7
11
Lattice="6.686 0.000 0.000 -3.343 5.790 0.000 0.000 0.000 4.057" Properties=species:S:1:pos:R:3 comment="HoGa2F8, relaxed, DFT PBE" space_group="P-3, No. 147" n_ef_per_ev_fu=2.0 raw_formation_energy_kj_per_mol_atoms=-277.1 relative_energy_kcal_per_mol_atoms=1.53 pbc="T T T"
Ho 0.000 0.000 0.000
Ga 0.000 3.860 2.996
Ga 3.343 1.930 1.061
F -0.006 1.925 3.006
F -1.673 4.833 3.006
F 1.664 0.968 1.051
F 0.000 3.860 0.986
F 3.343 1.930 3.071
F 1.679 4.823 3.006
F 5.016 0.958 1.051
F 3.349 3.865 1.051

Record 8
20
Lattice="9.857 5.691 2.083 -9.857 5.691 2.083 0.000 -11.382 2.083" Properties=species:S:1:pos:R:3 comment="Tb7PmNd12, relaxed, DFT PBE" space_group="R-3, No. 148" n_ef_per_ev_fu=28.0 relative_energy_kcal_per_mol_atoms=2.14 pbc="T T T"
Tb 0.000 0.000 0.000
Tb -2.426 -1.408 1.822
Tb -0.006 2.805 1.822
Tb 2.433 -1.397 1.822
Tb -2.433 1.397 4.427
Tb 0.006 -2.805 4.427
Tb 2.426 1.408 4.427
Pm 0.000 0.000 3.125
Nd 5.790 1.345 4.165
Nd -5.790 -1.345 2.085
Nd -3.498 2.013 1.253
Nd 0.005 -4.036 1.253
Nd 4.060 -4.342 2.085
Nd -1.730 -5.687 4.165
Nd 3.493 2.023 1.253
Nd -3.493 -2.023 4.996
Nd -4.060 4.342 4.165
Nd 1.730 5.687 2.085
Nd -0.005 4.036 4.996
Nd 3.498 -2.013 4.996